Entry 1:
Na2CoBr5 | PBE | relaxed

Summary:
- V (Å³/atom) = 38.9
- formation energy without anion corrections (eV per atom) = -0.8434

Lattice parameters (Å, degrees): 11.8078 12.1881 8.6422 90.00 90.00 90.00
Closest atoms and distances in Å follow each position.
Space group Pnnm (No. 58)
Symmetry-distinct sites (fractional):
Na  0.0000  0.0000  0.2220 (multiplicity 4)  2 Br 2.81
Na  0.1236  0.3414  0.0000 (multiplicity 4)  4 Br 2.74-3.02
Co  0.2446  0.2375  0.5000 (multiplicity 4)  4 Br 2.33-2.35
Br  0.0638  0.1579  0.5000 (multiplicity 4)  1 Co 2.34
Br  0.1212  0.5949  0.0000 (multiplicity 4)  1 Co 2.35
Br  0.1265  0.1162  0.0000 (multiplicity 4)  3 Na 2.74-2.81
Br  0.2286  0.8497  0.2155 (multiplicity 8)  1 Co 2.33


Entry 2:
Na3CoBr6 | PBE | relaxed

Summary:
- excess energy over the best structure of this formula in the dataset (meV per atom) = 0
- V (Å³/atom) = 28.5
- formation energy without anion corrections (eV per atom) = -1.0032

Lattice parameters (Å, degrees): 11.7017 11.7017 14.4170 90.00 90.00 120.00
Closest atoms and distances in Å follow each position.
Space group R-3 (No. 148, hexagonal axes)
Symmetry-distinct sites (fractional):
Na  0.0640  0.6016  0.3694 (multiplicity 18)  6 Br 2.93-3.14
Co  0.0000  0.0000  0.0000 (multiplicity 3)  6 Br 2.45
Co  0.0000  0.0000  0.5000 (multiplicity 3)  6 Br 2.44
Br  0.0097  0.8332  0.9034 (multiplicity 18)  1 Co 2.45
Br  0.0475  0.8587  0.4017 (multiplicity 18)  1 Co 2.44


Entry 3:
Na2CoBr4 | PBE | relaxed

Summary:
- excess energy over the best structure of this formula in the dataset (meV per atom) = 0
- V (Å³/atom) = 31.6
- formation energy without anion corrections (eV per atom) = -0.9905

Lattice parameters (Å, degrees): 8.4131 13.3429 15.7755 90.00 90.00 90.00
Closest atoms and distances in Å follow each position.
Space group Fddd (No. 70, origin choice 2)
Symmetry-distinct sites (fractional):
Na  0.1250  0.3301  0.1250 (multiplicity 16)  4 Br 2.95-3.04
Co  0.1250  0.1250  0.6250 (multiplicity 8)  4 Br 2.41
Br  0.0396  0.2604  0.9536 (multiplicity 32)  1 Co 2.41


Number 1: VASP energy -24.9 eV/f.u.. Number 2: VASP energy -31.1 eV/f.u.. Number 3: VASP energy -23.4 eV/f.u..